The following is a PBE calculation of a relaxed ZrSc2Cu crystal, from the Alexandria database.

a = 7.644 Å, b = 7.644 Å, c = 6.145 Å
α = 51.54°, β = 51.54°, γ = 90.00°
Atoms (fractional coordinates):
Sc 0.575 0.125 0.250
Sc 0.175 0.625 0.250
Sc 0.375 0.425 0.750
Sc 0.875 0.825 0.750
Cu 0.500 0.500 0.000
Cu 0.250 0.750 0.500
Zr 0.000 0.000 0.000
Zr 0.750 0.250 0.500

Total energy (eV per cell): -49.4
Total magnetic moment (μB/cell): 0.0
Symmetry: No. 122

The following is a PBE calculation of a relaxed Zr3ScCu4 crystal, from the Alexandria database.

a = 3.248 Å, b = 3.248 Å, c = 13.276 Å
α = 90.00°, β = 90.00°, γ = 90.00°
Atoms (fractional coordinates):
Sc 0.500 0.500 0.000
Cu 0.000 0.000 0.877
Cu 0.000 0.000 0.123
Cu 0.000 0.000 0.376
Cu 0.000 0.000 0.624
Zr 0.500 0.500 0.250
Zr 0.500 0.500 0.500
Zr 0.500 0.500 0.750

Total energy (eV per cell): -49.5
Total magnetic moment (μB/cell): 0.7
Symmetry: No. 123

The following is a PBE calculation of a relaxed ZrSc2Cu crystal, from the Alexandria database.

a = 4.876 Å, b = 4.876 Å, c = 4.876 Å
α = 60.00°, β = 60.00°, γ = 60.00°
Atoms (fractional coordinates):
Sc 0.250 0.250 0.250
Sc 0.750 0.750 0.750
Cu 0.000 0.000 0.000
Zr 0.500 0.500 0.500

Total energy (eV per cell): -24.7
Total magnetic moment (μB/cell): 2.9
Symmetry: No. 225

The following is a PBE calculation of a relaxed ZrSc2Cu crystal, from the Alexandria database.

a = 4.341 Å, b = 4.345 Å, c = 4.295 Å
α = 90.00°, β = 90.00°, γ = 90.00°
Atoms (fractional coordinates):
Cu 0.000 0.500 0.500
Sc 0.000 0.000 0.000
Sc 0.500 0.500 0.000
Zr 0.500 0.000 0.500

Total energy (eV per cell): -25.1
Total magnetic moment (μB/cell): 0.0
Symmetry: No. 123

The following is a PBE calculation of a relaxed Zr5ScCu6 crystal, from the Alexandria database.

a = 4.620 Å, b = 6.599 Å, c = 7.974 Å
α = 65.55°, β = 73.22°, γ = 89.99°
Atoms (fractional coordinates):
Sc 0.000 0.000 0.000
Cu 0.833 0.601 0.331
Cu 0.833 0.068 0.331
Cu 0.500 0.781 0.000
Cu 0.500 0.219 0.000
Cu 0.167 0.932 0.669
Cu 0.167 0.399 0.669
Zr 0.674 0.174 0.653
Zr 0.341 0.341 0.317
Zr 0.000 0.500 0.000
Zr 0.659 0.659 0.683
Zr 0.326 0.826 0.347

Total energy (eV per cell): -75.2
Total magnetic moment (μB/cell): 1.2
Symmetry: No. 12

The following is a PBE calculation of a relaxed Zr2ScCu2 crystal, from the Alexandria database.

a = 7.568 Å, b = 7.568 Å, c = 3.297 Å
α = 90.00°, β = 90.00°, γ = 90.00°
Atoms (fractional coordinates):
Sc 0.000 0.000 0.000
Sc 0.500 0.500 0.000
Cu 0.378 0.878 0.000
Cu 0.878 0.622 0.000
Cu 0.622 0.122 0.000
Cu 0.122 0.378 0.000
Zr 0.172 0.672 0.500
Zr 0.672 0.828 0.500
Zr 0.828 0.328 0.500
Zr 0.328 0.172 0.500

Total energy (eV per cell): -64.3
Total magnetic moment (μB/cell): 0.0
Symmetry: No. 127